(1)
A plane-wave DFT calculation with PBE was carried out for SrNiCl2 after structural relaxation.

Cell: 4.2057 4.2057 7.9915 Å, 90.00 90.00 120.37°
With the nearest neighbours (Å) after each atom.
Atoms (fractional coordinates):
Sr: 0.0000 0.0000 0.0000  3 Cl 2.76-2.84
Ni: 0.5000 0.5000 0.2913  2 Cl 2.15
Cl: 0.0000 0.0000 0.3559  2 Ni 2.15
Cl: 0.5000 0.5000 0.7741  2 Sr 2.76

- distance to the lowest polymorph of the same formula (eV per atom) = 0.2851
- calculated total energy (eV per atom) = -3.733
- total magnetization (μB/cell) = 0.00


(2)
A plane-wave DFT calculation with PBE was carried out for ZnBr after structural relaxation.

Cell: 4.1245 4.1245 4.1245 Å, 60.10 60.10 60.10°
With the nearest neighbours (Å) after each atom.
Atoms (fractional coordinates):
Zn: 0.0000 0.0000 0.0000  6 Br 2.92
Br: 0.5000 0.5000 0.5000  6 Zn 2.92

- calculated total energy (eV per atom) = -1.622
- total magnetization (μB/cell) = 0.00


(3)
A plane-wave DFT calculation with PBE was carried out for Li3CuSn4 after structural relaxation.

Cell: 7.7179 7.7179 7.7179 Å, 156.59 109.61 75.33°
With the nearest neighbours (Å) after each atom.
Atoms (fractional coordinates):
Li: 0.0000 0.0000 0.0000  8 Sn 3.07, 2 Li 3.13
Li: 0.3014 0.8014 0.5000  2 Cu 2.89, 6 Sn 2.92-3.02, 2 Li 3.13
Li: 0.6986 0.1986 0.5000  2 Cu 2.89, 6 Sn 2.92-3.02, 2 Li 3.13
Cu: 0.5000 0.5000 0.0000  4 Sn 2.78, 4 Li 2.89
Sn: 0.1136 0.3730 0.7406  1 Cu 2.78, 5 Li 2.92-3.07, 1 Sn 3.10
Sn: 0.3677 0.6270 0.7406  1 Cu 2.78, 5 Li 2.92-3.07, 1 Sn 3.10
Sn: 0.6323 0.3730 0.2594  1 Cu 2.78, 5 Li 2.92-3.07, 1 Sn 3.10
Sn: 0.8864 0.6270 0.2594  1 Cu 2.78, 5 Li 2.92-3.07, 1 Sn 3.10

- calculated formation energy (meV per atom) = -143
- calculated total energy (eV per atom) = -3.374
- total magnetization (μB/cell) = 0.00


(4)
A plane-wave DFT calculation with PBE was carried out for Cs2YH4 after structural relaxation.

Cell: 8.5593 8.5593 8.5593 Å, 149.84 149.84 43.18°
With the nearest neighbours (Å) after each atom.
Atoms (fractional coordinates):
Cs: 0.1561 0.1561 0.0000  9 H 3.16-3.34
Cs: 0.8439 0.8439 0.0000  9 H 3.16-3.34
Y: 0.5000 0.5000 0.0000  6 H 2.23
H: 0.0000 0.5000 0.5000  2 Y 2.23
H: 0.3600 0.3600 0.0000  1 Y 2.23
H: 0.5000 0.0000 0.5000  2 Y 2.23
H: 0.6400 0.6400 0.0000  1 Y 2.23

- calculated total energy (eV per atom) = -3.327
- total magnetization (μB/cell) = 0.00